Record 1
# LaPm2Hg PBE relaxed
data_LaPm2Hg
_chemical_formula_sum 'La3 Pm6 Hg3'
_space_group_name_H-M_alt 'R -3 m'
_space_group_IT_number 166
_space_group_name_Hall '-R 3 2"'
_cell_length_a 3.5532
_cell_length_b 3.5532
_cell_length_c 35.9529
_cell_angle_alpha 90.00
_cell_angle_beta 90.00
_cell_angle_gamma 120.00
loop_
_atom_site_label
_atom_site_fract_x
_atom_site_fract_y
_atom_site_fract_z
_atom_site_occupancy
La1 0.0000 0.0000 0.0000 1
Pm1 0.0000 0.0000 0.0967 1
Hg1 0.0000 0.0000 0.5000 1
# Total energy = -43.99 eV for the cell shown
# Relative energy among the computed polymorphs = 1.01 eV/f.u.
# Energy of formation from the pure elements = 0.017 eV per atom

=====

Record 2
# Mg3In12Ga PBE relaxed
data_Mg3In12Ga
_chemical_formula_sum 'Mg3 In12 Ga1'
_space_group_name_H-M_alt 'P 4/m m m'
_space_group_IT_number 123
_space_group_name_Hall '-P 4 2'
_cell_length_a 4.724
_cell_length_b 4.724
_cell_length_c 17.981
_cell_angle_alpha 90.00
_cell_angle_beta 90.00
_cell_angle_gamma 90.00
loop_
_atom_site_label
_atom_site_fract_x
_atom_site_fract_y
_atom_site_fract_z
_atom_site_occupancy
Mg1 0.000 0.000 0.000 1
Mg2 0.000 0.000 0.250 1
In1 0.000 0.500 0.125 1
In2 0.000 0.500 0.375 1
In3 0.500 0.500 0.000 1
In4 0.500 0.500 0.249 1
In5 0.500 0.500 0.500 1
Ga1 0.000 0.000 0.500 1
# Total energy = -40.89 eV for the cell shown
# Energy of formation from the pure elements = -0.013 eV per atom